Here is RbYAg2I6 after structural relaxation from Alexandria via LeMat-Bulk. Energies are from PBE-GGA.

Cell lengths 8.994, 10.938, 10.938 Å; angles 80.59, 72.63, 72.63 degrees
Fractional coordinates of all 20 atoms:
Y  0.750  0.820  0.180
Y  0.250  0.180  0.820
I  0.666  0.819  0.946
I  0.166  0.946  0.819
I  0.032  0.601  0.153
I  0.334  0.181  0.054
I  0.988  0.285  0.460
I  0.488  0.460  0.285
I  0.532  0.153  0.601
I  0.012  0.715  0.540
I  0.468  0.847  0.399
I  0.834  0.054  0.181
I  0.512  0.540  0.715
I  0.968  0.399  0.847
Ag  0.852  0.513  0.608
Ag  0.148  0.487  0.392
Ag  0.648  0.392  0.487
Ag  0.352  0.608  0.513
Rb  0.250  0.835  0.165
Rb  0.750  0.165  0.835

Computed properties:
The calculation puts the uncorrected formation energy at -0.89 eV/atom.